# LiFePO4

LiFePO4 after structural relaxation (GGA+U, Alexandria via LeMat-Bulk).

For the total energy, the calculation gives -6.804 eV/atom. Its polymorph energy (0 for the lowest one) is 28 meV per atom.

The structure belongs to space group Pnma (No. 62); the cell edges are 9.3489, 6.3706 and 4.9538 Å and the angles 90.00°, 90.00° and 90.00°. The inequivalent atoms are Li at (0.1688, 0.2500, 0.0227), Fe at (0.0000, 0.0000, 0.5000), P at (0.1781, 0.7500, 0.0260), O at (0.1185, 0.5491, 0.1594), O at (0.1386, 0.7500, 0.7196) and O at (0.1553, 0.2500, 0.5784).